Record 1
A plane-wave DFT calculation with PBE was carried out for an optimized crystal structure of NaCdTcOs.

Cell lengths 4.511, 4.511, 4.511 Å; angles 60.00, 60.00, 60.00 degrees
Sites, in units of the cell vectors:
Na  0.000  0.000  0.000
Cd  0.750  0.750  0.750
Tc  0.250  0.250  0.250
Os  0.500  0.500  0.500

E_tot = -5.30 eV per atom



Record 2
A plane-wave DFT calculation with PBE was carried out for an optimized crystal structure of NaCd4P3.

Cell lengths 11.374, 11.374, 11.374 Å; angles 22.09, 22.09, 22.09 degrees
Sites, in units of the cell vectors:
Na  0.000  0.000  0.000
Cd  0.200  0.200  0.200
Cd  0.402  0.402  0.402
Cd  0.598  0.598  0.598
Cd  0.800  0.800  0.800
P  0.279  0.279  0.279
P  0.500  0.500  0.500
P  0.721  0.721  0.721

E_tot = -2.81 eV per atom



Record 3
A plane-wave DFT calculation with PBE was carried out for an optimized crystal structure of NaCd4P3.

Cell lengths 7.556, 7.556, 11.296 Å; angles 96.46, 96.46, 120.01 degrees
Sites, in units of the cell vectors:
Na  0.000  0.000  0.000
Na  0.298  0.632  0.000
Na  0.632  0.298  0.000
Cd  0.038  0.706  0.187
Cd  0.074  0.444  0.401
Cd  0.209  0.209  0.603
Cd  0.238  0.904  0.780
Cd  0.388  0.388  0.232
Cd  0.444  0.074  0.401
Cd  0.512  0.815  0.606
Cd  0.589  0.589  0.826
Cd  0.706  0.038  0.187
Cd  0.811  0.811  0.399
Cd  0.815  0.512  0.606
Cd  0.904  0.238  0.780
P  0.035  0.366  0.167
P  0.147  0.814  0.513
P  0.256  0.256  0.837
P  0.366  0.035  0.167
P  0.474  0.474  0.485
P  0.591  0.928  0.841
P  0.693  0.693  0.163
P  0.814  0.147  0.513
P  0.928  0.591  0.841

E_tot = -2.81 eV per atom